Record 1
A plane-wave DFT calculation with PBE was carried out for MnCrSi2 after structural relaxation.

Results
Total magnetization = 2.28 μB per cell
Calculated density = 5.63 Mg/m³
Space-group type = No. 12
Fermi-level density of states = 3.0 states/eV/cell
Calculated volume = 12.04 Å³/atom
Energy relative to the elements, uncorrected = -0.1138 eV/atom

```
MnCrSi2
1.0
4.210 -0.001 0.015
3.422 2.452 0.015
0.957 0.307 4.667
Cr Mn Si
1 1 2
Direct
0.750 0.750 0.750
0.250 0.250 0.250
0.998 0.998 0.003
0.502 0.502 0.497
```


Record 2
A plane-wave DFT calculation with PBE was carried out for MnCrSi2 after structural relaxation.

Results
Total magnetization = 0.64 μB per cell
Calculated density = 5.72 Mg/m³
Space-group type = No. 38
Fermi-level density of states = 3.2 states/eV/cell
Calculated volume = 11.83 Å³/atom
Energy relative to the elements, uncorrected = -0.2465 eV/atom

```
MnCrSi2
1.0
3.885 0.000 0.000
0.000 2.865 -0.004
0.000 1.438 4.250
Si Mn Cr
2 1 1
Direct
0.000 0.217 0.941
0.500 0.034 0.307
0.500 0.760 0.855
0.000 0.489 0.398
```


Record 3
A plane-wave DFT calculation with PBE was carried out for MnCrSi after structural relaxation.

Results
Total magnetization = 0.00 μB per cell
Calculated density = 6.45 Mg/m³
Space-group type = No. 156
Fermi-level density of states = 3.4 states/eV/cell
Calculated volume = 11.59 Å³/atom
Energy relative to the elements, uncorrected = -0.0076 eV/atom

```
MnCrSi
1.0
2.620 0.000 0.000
-1.310 2.269 0.000
0.000 0.000 5.851
Si Cr Mn
1 1 1
Direct
0.333 0.667 0.662
0.000 0.000 0.008
0.667 0.333 0.330
```


Record 4
A plane-wave DFT calculation with PBE was carried out for MnCrSi2 after structural relaxation.

Results
Total magnetization = 1.59 μB per cell
Calculated density = 5.49 Mg/m³
Space-group type = No. 99
Fermi-level density of states = 3.3 states/eV/cell
Calculated volume = 12.33 Å³/atom
Energy relative to the elements, uncorrected = 0.0885 eV/atom

```
MnCrSi2
1.0
-2.361 -0.970 0.017
0.886 -2.173 -1.005
1.175 -2.738 6.959
Cr Mn Si
1 1 2
Direct
0.000 0.000 0.508
0.500 0.500 0.748
0.000 0.000 0.972
0.500 0.500 0.272
```


Record 5
A plane-wave DFT calculation with PBE was carried out for MnCr2Si2 after structural relaxation.

Results
Total magnetization = 0.01 μB per cell
Calculated density = 6.02 Mg/m³
Space-group type = No. 127
Fermi-level density of states = 10.4 states/eV/cell
Calculated volume = 11.87 Å³/atom
Energy relative to the elements, uncorrected = -0.1254 eV/atom

```
MnCr2Si2
1.0
6.169 0.000 0.000
0.000 6.169 0.000
0.000 0.000 3.120
Cr Si Mn
4 4 2
Direct
0.338 0.162 0.500
0.162 0.662 0.500
0.662 0.838 0.500
0.838 0.338 0.500
0.637 0.137 0.000
0.863 0.637 0.000
0.137 0.363 0.000
0.363 0.863 0.000
0.000 0.000 0.000
0.500 0.500 0.000
```


Record 6
A plane-wave DFT calculation with PBE was carried out for MnCr2Si after structural relaxation.

Results
Total magnetization = 0.00 μB per cell
Calculated density = 6.68 Mg/m³
Space-group type = No. 166
Fermi-level density of states = 3.4 states/eV/cell
Calculated volume = 11.62 Å³/atom
Energy relative to the elements, uncorrected = 0.0790 eV/atom

```
MnCr2Si
1.0
-2.335 -6.810 -3.848
-0.174 -6.308 -5.178
-0.047 -7.612 -2.948
Mn Si Cr
1 1 2
Direct
0.250 0.250 0.250
0.750 0.750 0.750
0.501 0.501 0.501
0.999 0.999 0.999
```


Record 7
A plane-wave DFT calculation with PBE was carried out for MnCrSi2 after structural relaxation.

Results
Total magnetization = 3.48 μB per cell
Calculated density = 5.66 Mg/m³
Space-group type = No. 65
Fermi-level density of states = 3.5 states/eV/cell
Calculated volume = 11.97 Å³/atom
Energy relative to the elements, uncorrected = -0.1520 eV/atom

```
MnCrSi2
1.0
-0.576 -4.261 -0.268
3.535 0.711 -2.357
1.509 -0.340 2.161
Mn Cr Si
1 1 2
Direct
0.000 0.500 0.500
0.500 0.000 0.500
0.500 0.500 0.000
0.000 0.000 0.000
```


Record 8
A plane-wave DFT calculation with PBE was carried out for MnCrSi2 after structural relaxation.

Results
Total magnetization = 1.29 μB per cell
Calculated density = 5.87 Mg/m³
Space-group type = No. 123
Fermi-level density of states = 3.5 states/eV/cell
Calculated volume = 11.54 Å³/atom
Energy relative to the elements, uncorrected = -0.2236 eV/atom

```
MnCrSi2
1.0
2.791 0.001 0.000
-0.003 2.791 0.000
0.000 0.000 5.924
Si Cr Mn
2 1 1
Direct
0.000 0.000 0.979
0.000 0.000 0.521
0.500 0.500 0.250
0.500 0.500 0.750
```


Record 9
A plane-wave DFT calculation with PBE was carried out for MnCrSi after structural relaxation.

Results
Total magnetization = 0.83 μB per cell
Calculated density = 6.51 Mg/m³
Space-group type = No. 156
Fermi-level density of states = 2.6 states/eV/cell
Calculated volume = 11.48 Å³/atom
Energy relative to the elements, uncorrected = -0.1724 eV/atom

```
MnCrSi
1.0
3.931 0.000 0.000
-1.966 3.405 0.000
0.000 0.000 2.572
Mn Cr Si
1 1 1
Direct
0.333 0.667 0.343
0.000 0.000 0.032
0.667 0.333 0.626
```


Record 10
A plane-wave DFT calculation with PBE was carried out for MnCr2Si after structural relaxation.

Results
Total magnetization = 0.70 μB per cell
Calculated density = 6.79 Mg/m³
Space-group type = No. 12
Fermi-level density of states = 3.8 states/eV/cell
Calculated volume = 11.43 Å³/atom
Energy relative to the elements, uncorrected = -0.0977 eV/atom

```
MnCr2Si
1.0
4.685 0.001 0.002
-2.049 4.149 -0.011
0.588 0.737 2.350
Si Cr Mn
1 2 1
Direct
0.500 0.500 0.000
0.000 0.000 0.000
0.500 0.000 0.500
0.000 0.500 0.500
```


Record 11
A plane-wave DFT calculation with PBE was carried out for MnCrSi2 after structural relaxation.

Results
Total magnetization = 2.66 μB per cell
Calculated density = 5.61 Mg/m³
Space-group type = No. 166
Fermi-level density of states = 4.2 states/eV/cell
Calculated volume = 12.06 Å³/atom
Energy relative to the elements, uncorrected = -0.1065 eV/atom

```
MnCrSi2
1.0
-2.447 6.003 4.626
-4.695 5.545 3.260
-4.135 4.099 5.434
Mn Cr Si
1 1 2
Direct
0.750 0.750 0.750
0.250 0.250 0.250
0.499 0.499 0.499
0.001 0.001 0.001
```


Record 12
A plane-wave DFT calculation with PBE was carried out for MnCrSi after structural relaxation.

Results
Total magnetization = 0.43 μB per cell
Calculated density = 5.62 Mg/m³
Space-group type = No. 216
Fermi-level density of states = 2.8 states/eV/cell
Calculated volume = 13.30 Å³/atom
Energy relative to the elements, uncorrected = -0.0233 eV/atom

```
MnCrSi
1.0
3.835 0.000 0.000
1.918 3.322 0.000
1.918 1.107 3.132
Mn Si Cr
1 1 1
Direct
0.750 0.750 0.750
0.000 0.000 0.000
0.500 0.500 0.500
```


Record 13
A plane-wave DFT calculation with PBE was carried out for MnCr2Si after structural relaxation.

Results
Total magnetization = 0.00 μB per cell
Calculated density = 6.93 Mg/m³
Space-group type = No. 71
Fermi-level density of states = 2.4 states/eV/cell
Calculated volume = 11.20 Å³/atom
Energy relative to the elements, uncorrected = -0.2922 eV/atom

```
MnCr2Si
1.0
-2.349 -2.581 -3.127
-0.387 -4.604 0.783
-0.867 4.240 1.798
Cr Si Mn
2 1 1
Direct
0.505 0.505 0.000
0.995 0.995 0.000
0.250 0.750 0.500
0.750 0.250 0.500
```


Record 14
A plane-wave DFT calculation with PBE was carried out for MnCrSi2 after structural relaxation.

Results
Total magnetization = 3.99 μB per cell
Calculated density = 5.69 Mg/m³
Space-group type = No. 4
Fermi-level density of states = 6.9 states/eV/cell
Calculated volume = 11.91 Å³/atom
Energy relative to the elements, uncorrected = -0.3751 eV/atom

```
MnCrSi2
1.0
-3.991 1.953 -0.950
-1.924 -4.138 -0.424
-1.064 -0.011 4.450
Si Mn Cr
4 2 2
Direct
0.346 0.344 0.592
0.155 0.851 0.903
0.846 0.656 0.408
0.655 0.149 0.097
0.862 0.138 0.613
0.362 0.862 0.387
0.137 0.366 0.108
0.637 0.634 0.892
```


Record 15
A plane-wave DFT calculation with PBE was carried out for Mn2CrSi6 after structural relaxation.

Results
Total magnetization = 2.05 μB per cell
Calculated density = 5.16 Mg/m³
Space-group type = No. 21
Fermi-level density of states = 1.8 states/eV/cell
Calculated volume = 11.81 Å³/atom
Energy relative to the elements, uncorrected = -0.2978 eV/atom

```
Mn2CrSi6
1.0
-0.756 -1.042 4.210
-2.925 -1.026 -3.081
2.897 -5.635 -0.875
Si Mn Cr
6 2 1
Direct
0.833 0.667 0.000
0.833 0.168 0.335
0.167 0.333 0.000
0.665 0.832 0.665
0.335 0.168 0.665
0.167 0.832 0.335
0.500 0.500 0.327
0.000 0.500 0.673
0.500 0.000 0.000
```